Compound: ReSi2Te
Source: Alexandria
Functional: PBE
Structure: optimized geometry

Properties
Its density of states at the Fermi level is 2.96 states/eV per cell. As for the energy relative to the elements, uncorrected: 0.70 eV per atom. Its magnetic moment is 0.00 μB/f.u.

a = 5.4551 Å, b = 5.4551 Å, c = 5.4551 Å
α = 146.70°, β = 126.19°, γ = 64.77°
With the nearest neighbours (Å) after each atom.
Positions (direct):
Re: 0.0000 0.0000 0.0000  4 Si 2.53
Si: 0.2166 0.7166 0.5000  2 Re 2.53
Si: 0.7834 0.2834 0.5000  2 Re 2.53
Te: 0.5000 0.5000 0.0000  4 Re 2.92, 8 Si 3.04-3.17, 2 Te 3.13

Compound: ReSi2Te
Source: Alexandria
Functional: PBE
Structure: optimized geometry

Properties
Its density of states at the Fermi level is 1.40 states/eV per cell. As for the energy relative to the elements, uncorrected: 0.69 eV per atom. Its magnetic moment is 0.00 μB/f.u.

a = 4.5630 Å, b = 4.5630 Å, c = 4.5630 Å
α = 60.00°, β = 60.00°, γ = 60.00°
With the nearest neighbours (Å) after each atom.
Positions (direct):
Re: 0.0000 0.0000 0.0000  4 Si 2.79, 4 Te 2.79
Si: 0.5000 0.5000 0.5000  4 Si 2.79, 4 Te 2.79
Si: 0.7500 0.7500 0.7500  4 Re 2.79, 4 Si 2.79
Te: 0.2500 0.2500 0.2500  4 Re 2.79, 4 Si 2.79

Compound: ReSiTe2
Source: Alexandria
Functional: PBE
Structure: optimized geometry

Properties
Its density of states at the Fermi level is 3.43 states/eV per cell. As for the energy relative to the elements, uncorrected: 0.92 eV per atom. Its magnetic moment is 0.00 μB/f.u.

a = 3.0990 Å, b = 3.0990 Å, c = 9.8922 Å
α = 90.00°, β = 90.00°, γ = 116.73°
With the nearest neighbours (Å) after each atom.
Positions (direct):
Re: 0.0000 0.0000 0.0000  4 Te 2.76
Si: 0.0000 0.0000 0.5000  6 Si 3.10-3.25, 4 Te 3.17
Te: 0.5000 0.5000 0.2250  2 Re 2.76
Te: 0.5000 0.5000 0.7750  2 Re 2.76

Compound: ReSiTe2
Source: Alexandria
Functional: PBE
Structure: optimized geometry

Properties
Its density of states at the Fermi level is 2.86 states/eV per cell. As for the energy relative to the elements, uncorrected: 0.70 eV per atom. Its magnetic moment is 0.00 μB/f.u.

a = 3.3169 Å, b = 3.3169 Å, c = 7.2924 Å
α = 90.00°, β = 90.00°, γ = 90.00°
With the nearest neighbours (Å) after each atom.
Positions (direct):
Re: 0.0000 0.0000 0.0000  8 Te 2.88
Si: 0.0000 0.0000 0.5000  8 Te 3.06, 4 Si 3.32
Te: 0.5000 0.5000 0.2297  4 Re 2.88, 4 Si 3.06
Te: 0.5000 0.5000 0.7703  4 Re 2.88, 4 Si 3.06